No. 1
Below is a relaxed structure of Li2AlGa4, with properties calculated at the PBE level.

Geometry as extended XYZ:
```
28
Lattice="0.000 6.350 6.350 6.350 0.000 6.350 6.350 6.350 0.000" Properties=species:S:1:pos:R:3 pbc="T T T"
Li 9.863 6.011 6.011
Li 2.837 2.837 2.837
Li 6.688 6.688 2.837
Li 6.688 2.837 6.688
Li 6.011 9.863 6.011
Li 6.011 6.011 9.863
Li 9.863 9.863 9.863
Li 2.837 6.688 6.688
Al 6.350 3.175 3.175
Al 3.175 6.350 3.175
Al 3.175 3.175 6.350
Al 6.350 6.350 6.350
Ga 0.000 0.000 0.000
Ga 3.175 3.175 0.000
Ga 3.175 0.000 3.175
Ga 4.762 4.762 1.732
Ga 4.762 1.732 4.762
Ga 7.793 4.762 4.762
Ga 7.937 7.937 4.906
Ga 7.937 4.906 7.937
Ga 10.968 7.937 7.937
Ga 0.000 3.175 3.175
Ga 1.732 4.762 4.762
Ga 4.762 7.793 4.762
Ga 4.762 4.762 7.793
Ga 4.906 7.937 7.937
Ga 7.937 10.968 7.937
Ga 7.937 7.937 10.968
```

Properties
DOS(E_F) = 0.58 states/eV/atom
crystal system = cubic
E_form = -114 meV/atom

---

No. 2
Below is a relaxed structure of LiAlGa2, with properties calculated at the PBE level.

Geometry as extended XYZ:
```
4
Lattice="-1.421 2.471 5.592 1.421 -2.471 5.592 1.421 2.471 -5.592" Properties=species:S:1:pos:R:3 pbc="T T T"
Li 0.000 0.000 0.000
Al 0.000 0.000 5.592
Ga 0.000 0.000 2.950
Ga 0.000 0.000 8.235
```

Properties
DOS(E_F) = 0.50 states/eV/atom
crystal system = orthorhombic
E_form = 103 meV/atom

---

No. 3
Below is a relaxed structure of LiAlGa, with properties calculated at the PBE level.

Geometry as extended XYZ:
```
3
Lattice="4.531 0.000 0.000 -2.265 3.924 0.000 0.000 0.000 2.908" Properties=species:S:1:pos:R:3 pbc="T T T"
Li 0.000 0.000 0.000
Al 0.000 2.616 1.453
Ga 2.265 1.308 1.447
```

Properties
DOS(E_F) = 0.46 states/eV/atom
crystal system = trigonal
E_form = -147 meV/atom

---

No. 4
Below is a relaxed structure of Li3Al4Ga4, with properties calculated at the PBE level.

Geometry as extended XYZ:
```
11
Lattice="2.890 0.000 0.000 0.045 4.049 0.000 0.715 2.001 15.580" Properties=species:S:1:pos:R:3 pbc="T T T"
Li 0.000 0.000 0.000
Li 1.382 2.011 4.304
Li 2.269 4.039 11.276
Al 0.822 2.012 12.772
Al 1.087 2.011 7.070
Al 2.564 4.039 8.511
Al 2.829 4.037 2.808
Ga 0.842 2.014 9.957
Ga 1.445 2.019 1.463
Ga 2.206 4.031 14.117
Ga 2.809 4.035 5.624
```

Properties
DOS(E_F) = 0.31 states/eV/atom
crystal system = triclinic
E_form = -123 meV/atom